Density functional theory data (PBE+U) for an optimized crystal structure of MnBiPb2O5.

The space group is Cmc2_1 (No. 36) and the conventional cell measures 3.644, 16.685 and 10.381 Å, with angles of 90.00, 90.00 and 90.00 degrees. Symmetry generates all atoms from Mn at (0.000, 0.239, 0.000), Bi at (0.000, 0.441, 0.423), Pb at (0.000, 0.117, 0.628), Pb at (0.000, 0.124, 0.265), O at (0.000, 0.121, 0.006), O at (0.000, 0.254, 0.567), O at (0.000, 0.347, 0.950), O at (0.000, 0.350, 0.279) and O at (0.000, 0.470, 0.755).

As for the calculated volume: 17.530 Å³ per atom. Its magnetization is 3.99 μB/f.u. For the raw total energy, the calculation gives -214.34 eV/cell.